Mn2C2F | GGA+U | relaxed Values from VASP.

## Properties
Offset from the most stable computed form ... 3.916 eV per formula unit
Size of the total moment ... 8.8 μB per formula unit
Symmetry ... I4/mmm

Quantum ESPRESSO input file:
```
&SYSTEM
  ibrav = 0, nat = 5, ntyp = 3
/
ATOMIC_SPECIES
F 19.00 F.upf
Mn 54.94 Mn.upf
C 12.01 C.upf
CELL_PARAMETERS angstrom
2.986 0.000 0.000
0.000 2.986 0.000
1.493 1.493 6.358
ATOMIC_POSITIONS crystal
F 0.000 0.000 0.000
Mn 0.625 0.625 0.749
Mn 0.375 0.375 0.251
C 0.750 0.250 0.500
C 0.250 0.750 0.500
```